A relaxed structure of CrIrPtO6, computed with GGA+U.

Total energy (eV for the cell shown): -120.74
DOS(E_F) (states/eV/f.u.): 5.21

Cell: 5.0658 5.0658 8.6036 Å, 90.00 90.00 120.00°
Closest atoms and distances in Å follow each position.
Space group P-31c (No. 163)
Asymmetric unit:
Cr 0.3333 0.6667 0.2500  6 O 1.98
Ir 0.0000 0.0000 0.0000  6 O 2.00
Pt 0.3333 0.6667 0.7500  6 O 2.03
O 0.0082 0.3381 0.1237  1 Cr 1.98, 1 Ir 2.00, 1 Pt 2.03